(1)
Here is an optimized crystal structure of UTlPt from the Open Quantum Materials Database. Energies are from GGA-PBE.

For the total energy, the calculation gives -18.266 eV per cell. The volume comes out at 26.7 Å³/atom. The total magnetization comes out at 0.06 μB per formula unit.

Cell: 4.840 4.840 4.840 Å, 60.00 60.00 60.00°
Fractional coordinates of all 3 atoms:
Tl (0.250, 0.250, 0.250)
Pt (0.750, 0.750, 0.750)
U (0.000, 0.000, 0.000)

=====

(2)
Here is an optimized crystal structure of ScInAg2 from the Open Quantum Materials Database. Energies are from GGA-PBE.

For the total energy, the calculation gives -62.184 eV per cell. The volume comes out at 20.0 Å³/atom. The total magnetization comes out at 0.00 μB per formula unit.

Cell: 6.299 6.306 8.060 Å, 90.00 90.00 90.00°
Fractional coordinates of all 16 atoms:
Sc (0.750, 0.250, 0.000)
Sc (0.250, 0.750, 0.000)
Sc (0.250, 0.750, 0.500)
Sc (0.750, 0.250, 0.500)
In (0.750, 0.750, 0.000)
In (0.250, 0.250, 0.500)
In (0.250, 0.250, 0.000)
In (0.750, 0.750, 0.500)
Ag (0.000, 0.000, 0.750)
Ag (0.500, 0.000, 0.750)
Ag (0.000, 0.500, 0.250)
Ag (0.000, 0.000, 0.250)
Ag (0.500, 0.000, 0.250)
Ag (0.000, 0.500, 0.750)
Ag (0.500, 0.500, 0.750)
Ag (0.500, 0.500, 0.250)

=====

(3)
Here is an optimized crystal structure of GdHoFe2Si4 from the Open Quantum Materials Database. Energies are from GGA-PBE.

For the total energy, the calculation gives -52.410 eV per cell. The volume comes out at 16.5 Å³/atom. The total magnetization comes out at 0.31 μB per formula unit.

Cell: 3.961 8.473 8.473 Å, 27.63 90.00 90.00°
Fractional coordinates of all 8 atoms:
Si (0.000, 0.251, 0.251)
Si (0.500, 0.750, 0.750)
Si (0.500, 0.042, 0.042)
Si (0.000, 0.957, 0.957)
Gd (0.000, 0.608, 0.608)
Fe (0.000, 0.822, 0.822)
Fe (0.500, 0.179, 0.179)
Ho (0.500, 0.392, 0.392)

=====

(4)
Here is an optimized crystal structure of PrFeCu2Sb4 from the Open Quantum Materials Database. Energies are from GGA-PBE.

For the total energy, the calculation gives -37.854 eV per cell. The volume comes out at 22.2 Å³/atom. The total magnetization comes out at 3.03 μB per formula unit.

Cell: 4.361 4.361 9.327 Å, 90.00 90.00 90.00°
Fractional coordinates of all 8 atoms:
Sb (0.000, 0.000, 0.657)
Sb (0.500, 0.000, 0.033)
Sb (0.500, 0.500, 0.324)
Sb (0.000, 0.500, 0.033)
Cu (0.500, 0.000, 0.482)
Cu (0.000, 0.500, 0.482)
Pr (0.500, 0.500, 0.754)
Fe (0.000, 0.000, 0.233)

=====

(5)
Here is an optimized crystal structure of HfAlRe from the Open Quantum Materials Database. Energies are from GGA-PBE.

Its energy above the most stable polymorph in this dataset is 629 meV per atom. For the total energy, the calculation gives -25.619 eV per cell. The volume comes out at 20.0 Å³/atom. The total magnetization comes out at 0.00 μB per formula unit.

Cell: 4.394 4.394 4.394 Å, 60.00 60.00 60.00°
Fractional coordinates of all 3 atoms:
Hf (0.750, 0.750, 0.750)
Al (0.250, 0.250, 0.250)
Re (0.000, 0.000, 0.000)

=====

(6)
Here is an optimized crystal structure of NbCoCuB from the Open Quantum Materials Database. Energies are from GGA-PBE.

Its energy above the most stable polymorph in this dataset is 116 meV per atom. For the total energy, the calculation gives -26.311 eV per cell. The volume comes out at 11.7 Å³/atom. The total magnetization comes out at 0.00 μB per formula unit.

Cell: 4.047 4.047 4.047 Å, 60.00 60.00 60.00°
Fractional coordinates of all 4 atoms:
B (0.000, 0.000, 0.000)
Nb (0.500, 0.500, 0.500)
Co (0.750, 0.750, 0.750)
Cu (0.250, 0.250, 0.250)

=====

(7)
Here is an optimized crystal structure of LuTlNO from the Open Quantum Materials Database. Energies are from GGA-PBE.

Its energy above the most stable polymorph in this dataset is 230 meV per atom. For the total energy, the calculation gives -49.128 eV per cell. The volume comes out at 14.5 Å³/atom. The total magnetization comes out at 0.00 μB per formula unit.

Cell: 4.922 4.922 4.780 Å, 90.00 90.00 90.00°
Fractional coordinates of all 8 atoms:
Lu (0.250, 0.750, 0.500)
Lu (0.750, 0.250, 0.500)
N (0.750, 0.750, 0.493)
N (0.250, 0.250, 0.507)
O (0.750, 0.250, 0.000)
O (0.250, 0.750, 0.000)
Tl (0.250, 0.250, 0.007)
Tl (0.750, 0.750, 0.993)

=====

(8)
Here is an optimized crystal structure of YEr2Tm3Te2Au from the Open Quantum Materials Database. Energies are from GGA-PBE.

For the total energy, the calculation gives -45.570 eV per cell. The volume comes out at 26.6 Å³/atom. The total magnetization comes out at 0.02 μB per formula unit.

Cell: 3.946 8.356 8.356 Å, 119.80 90.00 90.00°
Fractional coordinates of all 9 atoms:
Tm (0.500, 0.250, 0.250)
Tm (0.500, 0.001, 0.750)
Tm (0.500, 0.750, 0.001)
Au (0.000, 0.001, 0.001)
Er (0.000, 0.000, 0.402)
Er (0.000, 0.402, 0.000)
Y (0.000, 0.597, 0.597)
Te (0.500, 0.333, 0.667)
Te (0.500, 0.667, 0.333)